DFT (PBE-GGA) results for a relaxed structure of Tb5CePr6.

abc: 5.1635 10.2381 15.4493
angles: 90.00 90.00 90.00
Last column: nearest neighbours and their distance in Å.
Space group Immm (No. 71)
Asymmetric unit:
Tb: 0.0000 0.0000 0.0000 (multiplicity 2)  8 Pr 3.62-3.65, 4 Tb 3.66
Tb: 0.0000 0.0000 0.3344 (multiplicity 4)  8 Pr 3.61-3.66, 2 Ce 3.63, 2 Tb 3.65
Tb: 0.0000 0.5000 0.3323 (multiplicity 4)  8 Pr 3.63-3.65, 4 Tb 3.65-3.66
Ce: 0.0000 0.5000 0.0000 (multiplicity 2)  8 Pr 3.61-3.62, 4 Tb 3.63
Pr: 0.0000 0.2483 0.5000 (multiplicity 4)  6 Tb 3.61-3.65, 2 Ce 3.62, 4 Pr 3.63
Pr: 0.0000 0.2505 0.1651 (multiplicity 8)  1 Ce 3.61, 7 Tb 3.62-3.66, 4 Pr 3.63-3.68

Values from the calculation:
Formation energy from the elements in eV/atom: 0.038
DFT total energy in Ry/atom: -0.3510

DFT (PBE-GGA) results for a relaxed structure of NbNiPd2Se.

abc: 4.6807 4.6807 4.2931
angles: 90.00 90.00 90.00
Last column: nearest neighbours and their distance in Å.
Space group P4/mmm (No. 123)
Asymmetric unit:
Nb: 0.0000 0.0000 0.0000 (multiplicity 1)  8 Pd 3.18, 4 Ni 3.31
Ni: 0.5000 0.5000 0.0000 (multiplicity 1)  2 Se 2.15
Pd: 0.0000 0.5000 0.5000 (multiplicity 2)  2 Se 2.34
Se: 0.5000 0.5000 0.5000 (multiplicity 1)  2 Ni 2.15, 4 Pd 2.34

Values from the calculation:
DFT total energy in Ry/atom: -0.3990

DFT (PBE-GGA) results for a relaxed structure of MgH3Pd3.

abc: 7.0619 7.0619 10.5274
angles: 90.00 90.00 120.00
Last column: nearest neighbours and their distance in Å.
Space group R-3 (No. 148, hexagonal axes)
Asymmetric unit:
Mg: 0.0000 0.0000 0.1690 (multiplicity 6)  3 H 2.50, 3 Pd 2.78
H: 0.0315 0.3028 0.4241 (multiplicity 18)  4 Pd 1.81-2.01
Pd: 0.0392 0.2673 0.6058 (multiplicity 18)  4 H 1.81-2.01

Values from the calculation:
Distance to the lowest polymorph of the same formula in eV per atom: 0.030
DFT total energy in Ry/atom: -0.3052

DFT (PBE-GGA) results for a relaxed structure of Ce5PuP6.

abc: 7.0602 12.2307 7.0619
angles: 90.00 109.47 90.00
Last column: nearest neighbours and their distance in Å.
Space group C2/m (No. 12)
Asymmetric unit:
Ce: 0.0000 0.0000 0.0000 (multiplicity 2)  6 P 2.88-2.91
Ce: 0.0000 0.1665 0.5000 (multiplicity 4)  6 P 2.88
Ce: 0.0000 0.3326 0.0000 (multiplicity 4)  6 P 2.88-2.90
Pu: 0.0000 0.5000 0.5000 (multiplicity 2)  6 P 2.86
P: 0.2474 0.5000 0.2514 (multiplicity 4)  1 Pu 2.86, 5 Ce 2.88-2.91
P: 0.2478 0.3348 0.7479 (multiplicity 8)  1 Pu 2.86, 5 Ce 2.88-2.90

Values from the calculation:
Formation energy from the elements in eV/atom: -1.441
DFT total energy in Ry/atom: -0.5742

DFT (PBE-GGA) results for a relaxed structure of CePr2DyBi4.

abc: 7.9426 4.5927 7.9539
angles: 90.00 109.44 90.00
Last column: nearest neighbours and their distance in Å.
Space group P2/m (No. 10)
Asymmetric unit:
Ce: 0.0000 0.0000 0.0000 (multiplicity 1)  6 Bi 3.22-3.23
Pr: 0.0000 0.5000 0.5000 (multiplicity 1)  6 Bi 3.29
Pr: 0.5000 0.0000 0.5000 (multiplicity 1)  6 Bi 3.27
Dy: 0.5000 0.5000 0.0000 (multiplicity 1)  6 Bi 3.20
Bi: 0.2504 0.5000 0.2433 (multiplicity 2)  1 Dy 3.20, 2 Ce 3.23, 3 Pr 3.27-3.29
Bi: 0.2554 0.0000 0.7590 (multiplicity 2)  2 Dy 3.20, 1 Ce 3.22, 3 Pr 3.27-3.29

Values from the calculation:
Formation energy from the elements in eV/atom: -0.892
DFT total energy in Ry/atom: -0.3928

DFT (PBE-GGA) results for a relaxed structure of Y5Ni2.

abc: 16.4151 6.4048 6.8868
angles: 90.00 96.35 90.00
Last column: nearest neighbours and their distance in Å.
Space group C2/c (No. 15)
Asymmetric unit:
Y: 0.0000 0.0657 0.2500 (multiplicity 4)  4 Ni 2.83-2.88
Y: 0.0960 0.3928 0.9210 (multiplicity 8)  2 Ni 2.74-2.77
Y: 0.2160 0.0669 0.3122 (multiplicity 8)  2 Ni 2.76-2.86
Ni: 0.1102 0.2043 0.5688 (multiplicity 8)  6 Y 2.74-2.88

Values from the calculation:
Formation energy from the elements in eV/atom: -0.263
DFT total energy in Ry/atom: -0.4801

DFT (PBE-GGA) results for a relaxed structure of Pa2Fe2C3.

abc: 11.3395 3.2767 5.2856
angles: 90.00 115.09 90.00
Last column: nearest neighbours and their distance in Å.
Space group C2/m (No. 12)
Asymmetric unit:
Pa: 0.0965 0.0000 0.2948 (multiplicity 4)  5 C 2.36-2.54
Fe: 0.1666 0.5000 0.8310 (multiplicity 4)  4 C 1.91-1.97
C: 0.0000 0.5000 0.5000 (multiplicity 2)  2 Fe 1.96
C: 0.2473 0.0000 0.7701 (multiplicity 4)  3 Fe 1.91-1.97

Values from the calculation:
Formation energy from the elements in eV/atom: -0.238
DFT total energy in Ry/atom: -0.6851

DFT (PBE-GGA) results for a relaxed structure of Rb2ReGeCl6.

abc: 7.7965 7.7965 9.0939
angles: 90.00 90.00 90.00
Last column: nearest neighbours and their distance in Å.
Space group I4/mmm (No. 139)
Asymmetric unit:
Rb: 0.0000 0.5000 0.2500 (multiplicity 4)  12 Cl 3.59-3.90
Re: 0.0000 0.0000 0.0000 (multiplicity 2)  6 Cl 2.26-2.44
Ge: 0.0000 0.0000 0.5000 (multiplicity 2)  2 Cl 2.29
Cl: 0.0000 0.0000 0.2487 (multiplicity 4)  1 Re 2.26, 1 Ge 2.29
Cl: 0.2217 0.2217 0.0000 (multiplicity 8)  1 Re 2.44

Values from the calculation:
DFT total energy in Ry/atom: -0.2830

DFT (PBE-GGA) results for a relaxed structure of BaNa2BPt.

abc: 6.9160 6.9160 5.5186
angles: 90.00 90.00 90.00
Last column: nearest neighbours and their distance in Å.
Space group P4/mmm (No. 123)
Asymmetric unit:
Ba: 0.0000 0.0000 0.0000 (multiplicity 1)  2 Pt 2.76
Na: 0.0000 0.5000 0.0000 (multiplicity 2)  2 Ba 3.46
B: 0.5000 0.5000 0.5000 (multiplicity 1)  8 Na 4.42, 4 Pt 4.89
Pt: 0.0000 0.0000 0.5000 (multiplicity 1)  2 Ba 2.76

Values from the calculation:
Formation energy from the elements in eV/atom: 1.622
DFT total energy in Ry/atom: -0.1348

DFT (PBE-GGA) results for a relaxed structure of AcY4Er7.

abc: 12.2334 6.0287 12.5506
angles: 90.00 118.73 90.00
Last column: nearest neighbours and their distance in Å.
Space group C2/m (No. 12)
Asymmetric unit:
Ac: 0.0000 0.0000 0.0000 (multiplicity 2)  4 Er 3.01-3.26
Y: 0.1214 0.5000 0.7754 (multiplicity 4)  8 Er 3.37-3.77
Y: 0.2296 0.5000 0.3099 (multiplicity 4)  6 Er 3.24-3.62
Er: 0.0000 0.5000 0.0000 (multiplicity 2)  2 Ac 3.01, 2 Er 3.12
Er: 0.0449 0.0000 0.3598 (multiplicity 4)  4 Er 3.40-3.47, 4 Y 3.58-3.71
Er: 0.1392 0.5000 0.5153 (multiplicity 4)  4 Er 3.24-3.47, 5 Y 3.26-3.62
Er: 0.2159 0.0000 0.9184 (multiplicity 4)  2 Er 3.12-3.42, 4 Y 3.24-3.41, 1 Ac 3.26

Values from the calculation:
Formation energy from the elements in eV/atom: 0.314
DFT total energy in Ry/atom: -0.3561

DFT (PBE-GGA) results for a relaxed structure of Pr2HfZn.

abc: 3.4894 3.4894 8.8731
angles: 90.00 90.00 90.00
Last column: nearest neighbours and their distance in Å.
Space group P4/mmm (No. 123)
Asymmetric unit:
Pr: 0.0000 0.0000 0.2328 (multiplicity 2)  4 Zn 3.22, 4 Hf 3.42, 4 Pr 3.49
Hf: 0.5000 0.5000 0.5000 (multiplicity 1)  8 Pr 3.42, 4 Hf 3.49
Zn: 0.5000 0.5000 0.0000 (multiplicity 1)  8 Pr 3.22, 4 Zn 3.49

Values from the calculation:
Distance to the lowest polymorph of the same formula in eV per atom: 0.000
Formation energy from the elements in eV/atom: 0.009
DFT total energy in Ry/atom: -0.3813

DFT (PBE-GGA) results for a relaxed structure of Rb3Ga2Ag4.

abc: 13.1084 4.6577 9.7165
angles: 90.00 108.83 90.00
Last column: nearest neighbours and their distance in Å.
Space group C2/m (No. 12)
Asymmetric unit:
Rb: 0.0000 0.0000 0.0000 (multiplicity 2)  6 Ag 3.57-3.92
Rb: 0.1266 0.5000 0.3759 (multiplicity 4)  6 Ag 3.59-3.82, 2 Ga 3.76-3.80
Ga: 0.1788 0.5000 0.7800 (multiplicity 4)  5 Ag 2.69-2.78
Ag: 0.0851 0.0000 0.6381 (multiplicity 4)  2 Ga 2.78, 2 Ag 2.86-2.88
Ag: 0.2466 0.0000 0.9179 (multiplicity 4)  3 Ga 2.69-2.78, 3 Ag 2.81-2.86

Values from the calculation:
Formation energy from the elements in eV/atom: -0.010
DFT total energy in Ry/atom: -0.1670

DFT (PBE-GGA) results for a relaxed structure of Tm3CdCo.

abc: 6.2938 9.4799 15.9013
angles: 90.00 90.00 90.00
Last column: nearest neighbours and their distance in Å.
Space group Fmmm (No. 69)
Asymmetric unit:
Tm: 0.0000 0.0000 0.2013 (multiplicity 8)  4 Co 2.95, 2 Tm 3.25
Tm: 0.0000 0.1896 0.3854 (multiplicity 16)  2 Co 2.73
Cd: 0.2139 0.0000 0.0000 (multiplicity 8)  1 Cd 2.69
Co: 0.2500 0.2500 0.2500 (multiplicity 8)  8 Tm 2.73-2.95

Values from the calculation:
Distance to the lowest polymorph of the same formula in eV per atom: 0.000
Formation energy from the elements in eV/atom: -0.229
DFT total energy in Ry/atom: -0.3319

DFT (PBE-GGA) results for a relaxed structure of NaZn2N.

abc: 6.2362 6.2362 8.8546
angles: 90.00 90.00 90.00
Last column: nearest neighbours and their distance in Å.
Space group I-42d (No. 122)
Asymmetric unit:
Na: 0.0000 0.0000 0.0000 (multiplicity 4)  8 Zn 3.37-3.68
Zn: 0.0553 0.2500 0.6250 (multiplicity 8)  2 N 1.94
N: 0.0000 0.0000 0.5000 (multiplicity 4)  4 Zn 1.94

Values from the calculation:
DFT total energy in Ry/atom: -0.2042

DFT (PBE-GGA) results for a relaxed structure of Ca2CdO.

abc: 3.4977 3.4977 27.2592
angles: 90.00 90.00 120.00
Last column: nearest neighbours and their distance in Å.
Space group R-3m (No. 166, hexagonal axes)
Asymmetric unit:
Ca: 0.0000 0.0000 0.1167 (multiplicity 6)  3 O 2.44
Cd: 0.0000 0.0000 0.0000 (multiplicity 3)  2 Ca 3.18, 6 Cd 3.50
O: 0.0000 0.0000 0.5000 (multiplicity 3)  6 Ca 2.44

Values from the calculation:
Distance to the lowest polymorph of the same formula in eV per atom: 0.231
DFT total energy in Ry/atom: -0.2718

DFT (PBE-GGA) results for a relaxed structure of Cu2TePt.

abc: 3.9966 3.9966 8.0680
angles: 90.00 90.00 90.00
Last column: nearest neighbours and their distance in Å.
Space group I-4m2 (No. 119)
Asymmetric unit:
Cu: 0.0000 0.0000 0.0000 (multiplicity 2)  4 Te 2.83, 4 Cu 2.84, 4 Pt 2.84
Cu: 0.0000 0.5000 0.2500 (multiplicity 2)  4 Pt 2.83, 4 Te 2.84, 4 Cu 2.84
Te: 0.0000 0.0000 0.5000 (multiplicity 2)  8 Cu 2.83-2.84, 4 Pt 2.84
Pt: 0.0000 0.5000 0.7500 (multiplicity 2)  8 Cu 2.83-2.84, 4 Te 2.84

Values from the calculation:
DFT total energy in Ry/atom: -0.3152

DFT (PBE-GGA) results for a relaxed structure of CdSiW2.

abc: 5.5659 8.5615 2.7227
angles: 90.00 90.00 90.00
Last column: nearest neighbours and their distance in Å.
Space group Cmmm (No. 65)
Asymmetric unit:
Cd: 0.0000 0.0000 0.0000 (multiplicity 2)  2 Cd 2.72, 2 Si 2.78, 8 W 2.89
Si: 0.0000 0.5000 0.0000 (multiplicity 2)  2 Si 2.72, 2 Cd 2.78, 8 W 2.89
W: 0.2500 0.2500 0.5000 (multiplicity 4)  4 W 2.72-2.78, 4 Cd 2.89, 4 Si 2.89

Values from the calculation:
Distance to the lowest polymorph of the same formula in eV per atom: 0.300
DFT total energy in Ry/atom: -0.5440

DFT (PBE-GGA) results for a relaxed structure of Cd2Sb2Te.

abc: 8.1560 8.1560 4.2980
angles: 90.00 90.00 90.00
Last column: nearest neighbours and their distance in Å.
Space group P4/mbm (No. 127)
Asymmetric unit:
Cd: 0.1634 0.3366 0.0000 (multiplicity 4)  2 Te 3.05, 6 Sb 3.20-3.25
Sb: 0.1247 0.6247 0.5000 (multiplicity 4)  1 Sb 2.88, 4 Cd 3.20
Te: 0.0000 0.0000 0.0000 (multiplicity 2)  4 Cd 3.05

Values from the calculation:
Distance to the lowest polymorph of the same formula in eV per atom: 0.090
DFT total energy in Ry/atom: -0.1809

DFT (PBE-GGA) results for a relaxed structure of LaZn4Cd8.

abc: 9.6998 9.6998 5.7233
angles: 90.00 90.00 90.00
Last column: nearest neighbours and their distance in Å.
Space group I4/mmm (No. 139)
Asymmetric unit:
La: 0.0000 0.0000 0.0000 (multiplicity 2)  12 Cd 3.37-3.56, 8 Zn 3.72
Zn: 0.2500 0.2500 0.2500 (multiplicity 8)  8 Cd 2.83-2.97, 2 Zn 2.86
Cd: 0.0000 0.2183 0.5000 (multiplicity 8)  4 Zn 2.83, 6 Cd 2.99-3.12
Cd: 0.0000 0.3473 0.0000 (multiplicity 8)  5 Cd 2.96-3.12, 4 Zn 2.97

Values from the calculation:
Formation energy from the elements in eV/atom: -0.145
DFT total energy in Ry/atom: -0.1087

DFT (PBE-GGA) results for a relaxed structure of PmTmOs.

abc: 6.7993 6.7993 6.7993
angles: 90.00 90.00 90.00
Last column: nearest neighbours and their distance in Å.
Space group F-43m (No. 216)
Asymmetric unit:
Pm: 0.0000 0.0000 0.0000 (multiplicity 4)  4 Os 2.94
Tm: 0.0000 0.0000 0.5000 (multiplicity 4)  4 Os 2.94
Os: 0.2500 0.2500 0.7500 (multiplicity 4)  4 Pm 2.94, 4 Tm 2.94

Values from the calculation:
Distance to the lowest polymorph of the same formula in eV per atom: 0.024
Formation energy from the elements in eV/atom: -0.159
DFT total energy in Ry/atom: -0.5127

DFT (PBE-GGA) results for a relaxed structure of Pm2NdCdO.

abc: 4.9463 4.9463 4.9909
angles: 90.00 90.00 90.00
Last column: nearest neighbours and their distance in Å.
Space group P4/mmm (No. 123)
Asymmetric unit:
Pm: 0.0000 0.5000 0.0000 (multiplicity 2)  2 O 2.47
Nd: 0.0000 0.0000 0.5000 (multiplicity 1)  2 O 2.50
Cd: 0.5000 0.5000 0.5000 (multiplicity 1)  4 Nd 3.50, 8 Pm 3.51
O: 0.0000 0.0000 0.0000 (multiplicity 1)  4 Pm 2.47, 2 Nd 2.50

Values from the calculation:
DFT total energy in Ry/atom: -0.3910